Here is a relaxed IrOsRu crystal from the Alexandria database. Energies are from GGA-PBE. Values from VASP.

E	-9.761	eV per atom
total magnetic moment	0.0	Bohr magnetons per cell
ΔE_f	0.028	eV per atom
energy relative to the lowest polymorph listed for this composition	0.002	eV/atom
SG	I4mm

Structure (Quantum ESPRESSO input):
```
&SYSTEM
  ibrav = 0, nat = 3, ntyp = 3
/
ATOMIC_SPECIES
Ir 192.22 Ir.upf
Os 190.23 Os.upf
Ru 101.07 Ru.upf
ATOMIC_POSITIONS angstrom
Ir 0.000 0.000 0.000
Os 0.000 0.000 3.856
Ru 0.000 0.000 7.774
CELL_PARAMETERS angstrom
-1.358 1.358 5.797
1.358 -1.358 5.797
1.358 1.358 -5.797
```

Here is a relaxed Ir7Os2Ru2 crystal from the Alexandria database. Energies are from GGA-PBE. Values from VASP.

E	-8.993	eV per atom
total magnetic moment	0.0	Bohr magnetons per cell
ΔE_f	0.374	eV per atom
energy relative to the lowest polymorph listed for this composition	0.151	eV/atom
SG	C2/m

Structure (Quantum ESPRESSO input):
```
&SYSTEM
  ibrav = 0, nat = 11, ntyp = 3
/
ATOMIC_SPECIES
Ir 192.22 Ir.upf
Os 190.23 Os.upf
Ru 101.07 Ru.upf
ATOMIC_POSITIONS angstrom
Ir 0.000 0.000 0.000
Ir 1.945 1.406 1.138
Ir 1.945 -1.406 1.138
Ir 4.112 0.000 1.087
Ir 4.339 0.000 3.575
Ir 6.506 1.406 3.525
Ir 6.506 -1.406 3.525
Os 4.226 2.585 2.331
Os 4.226 -2.585 2.331
Ru 1.578 0.000 3.507
Ru 6.873 0.000 1.156
CELL_PARAMETERS angstrom
4.635 -3.944 0.000
4.635 3.944 0.000
-0.820 0.000 4.662
```

Here is a relaxed IrOs2Ru crystal from the Alexandria database. Energies are from GGA-PBE. Values from VASP.

E	-10.069	eV per atom
total magnetic moment	0.0	Bohr magnetons per cell
ΔE_f	0.080	eV per atom
energy relative to the lowest polymorph listed for this composition	0.093	eV/atom
SG	Cmmm

Structure (Quantum ESPRESSO input):
```
&SYSTEM
  ibrav = 0, nat = 4, ntyp = 3
/
ATOMIC_SPECIES
Ir 192.22 Ir.upf
Os 190.23 Os.upf
Ru 101.07 Ru.upf
ATOMIC_POSITIONS angstrom
Ir 0.000 0.000 0.000
Os 1.361 1.929 1.358
Os 1.361 -1.929 1.358
Ru 2.722 0.000 0.000
CELL_PARAMETERS angstrom
2.722 -3.859 0.000
2.722 3.859 0.000
0.000 0.000 2.717
```

Here is a relaxed IrOs2Ru5 crystal from the Alexandria database. Energies are from GGA-PBE. Values from VASP.

E	-9.729	eV per atom
total magnetic moment	0.0	Bohr magnetons per cell
ΔE_f	-0.017	eV per atom
SG	Fmm2

Structure (Quantum ESPRESSO input):
```
&SYSTEM
  ibrav = 0, nat = 8, ntyp = 3
/
ATOMIC_SPECIES
Ir 192.22 Ir.upf
Os 190.23 Os.upf
Ru 101.07 Ru.upf
ATOMIC_POSITIONS angstrom
Ir 0.000 0.000 0.000
Os 2.741 2.162 6.331
Os 2.741 6.477 6.331
Ru 4.112 4.320 2.386
Ru 1.370 2.160 3.967
Ru 2.741 4.320 4.748
Ru 1.369 4.320 2.386
Ru 4.111 6.479 8.715
CELL_PARAMETERS angstrom
0.000 4.320 4.748
2.741 0.000 4.748
2.741 4.320 0.000
```

Here is a relaxed Ir2Os3Ru crystal from the Alexandria database. Energies are from GGA-PBE. Values from VASP.

E	-10.055	eV per atom
total magnetic moment	0.0	Bohr magnetons per cell
ΔE_f	0.060	eV per atom
energy relative to the lowest polymorph listed for this composition	0.000	eV/atom
SG	P2/m

Structure (Quantum ESPRESSO input):
```
&SYSTEM
  ibrav = 0, nat = 6, ntyp = 3
/
ATOMIC_SPECIES
Ir 192.22 Ir.upf
Os 190.23 Os.upf
Ru 101.07 Ru.upf
ATOMIC_POSITIONS angstrom
Ir 0.788 0.000 1.130
Ir 3.906 0.000 5.548
Os -0.019 1.358 3.339
Os 1.546 1.358 5.548
Os 3.147 1.358 1.129
Ru 2.347 0.000 3.339
CELL_PARAMETERS angstrom
4.733 0.000 0.000
0.000 2.715 0.000
-0.039 0.000 6.677
```

Here is a relaxed IrOs2Ru crystal from the Alexandria database. Energies are from GGA-PBE. Values from VASP.

E	-10.089	eV per atom
total magnetic moment	0.0	Bohr magnetons per cell
ΔE_f	0.060	eV per atom
energy relative to the lowest polymorph listed for this composition	0.073	eV/atom
SG	Cm

Structure (Quantum ESPRESSO input):
```
&SYSTEM
  ibrav = 0, nat = 4, ntyp = 3
/
ATOMIC_SPECIES
Ir 192.22 Ir.upf
Os 190.23 Os.upf
Ru 101.07 Ru.upf
ATOMIC_POSITIONS angstrom
Ir 0.000 0.000 0.000
Os 4.092 0.000 2.324
Os 6.570 0.000 1.174
Ru 1.624 0.000 3.472
CELL_PARAMETERS angstrom
4.516 -1.357 0.000
4.516 1.357 0.000
-0.812 0.000 4.654
```

Here is a relaxed Ir4OsRu2 crystal from the Alexandria database. Energies are from GGA-PBE. Values from VASP.

E	-8.830	eV per atom
total magnetic moment	0.0	Bohr magnetons per cell
ΔE_f	0.488	eV per atom
energy relative to the lowest polymorph listed for this composition	0.000	eV/atom
SG	Pbam

Structure (Quantum ESPRESSO input):
```
&SYSTEM
  ibrav = 0, nat = 14, ntyp = 3
/
ATOMIC_SPECIES
Ir 192.22 Ir.upf
Os 190.23 Os.upf
Ru 101.07 Ru.upf
ATOMIC_POSITIONS angstrom
Ir 0.240 1.981 0.000
Ir 1.017 0.722 2.160
Ir 1.331 6.009 2.160
Ir 2.109 7.268 0.000
Ir 2.588 3.306 0.000
Ir 3.366 4.565 2.160
Ir 3.680 9.851 2.160
Ir 4.457 8.593 0.000
Os 0.000 5.287 0.000
Os 2.348 0.000 0.000
Ru 1.060 3.420 2.160
Ru 1.289 8.707 2.160
Ru 3.408 1.867 2.160
Ru 3.637 7.153 2.160
CELL_PARAMETERS angstrom
4.697 0.000 0.000
0.000 10.574 0.000
0.000 0.000 4.319
```

Here is a relaxed IrOs2Ru2 crystal from the Alexandria database. Energies are from GGA-PBE. Values from VASP.

E	-9.578	eV per atom
total magnetic moment	0.0	Bohr magnetons per cell
ΔE_f	0.396	eV per atom
energy relative to the lowest polymorph listed for this composition	0.341	eV/atom
SG	P4/mbm

Structure (Quantum ESPRESSO input):
```
&SYSTEM
  ibrav = 0, nat = 10, ntyp = 3
/
ATOMIC_SPECIES
Ir 192.22 Ir.upf
Os 190.23 Os.upf
Ru 101.07 Ru.upf
ATOMIC_POSITIONS angstrom
Ir 0.000 0.000 0.000
Ir 3.685 3.685 0.000
Os 0.917 2.768 0.000
Os 2.768 6.453 0.000
Os 4.602 0.917 0.000
Os 6.453 4.602 0.000
Ru 1.255 4.940 1.379
Ru 2.430 1.255 1.379
Ru 4.940 6.115 1.379
Ru 6.115 2.430 1.379
CELL_PARAMETERS angstrom
7.370 0.000 0.000
0.000 7.370 0.000
0.000 0.000 2.758
```

Here is a relaxed IrOsRu crystal from the Alexandria database. Energies are from GGA-PBE. Values from VASP.

E	-9.510	eV per atom
total magnetic moment	0.0	Bohr magnetons per cell
ΔE_f	0.279	eV per atom
energy relative to the lowest polymorph listed for this composition	0.253	eV/atom
SG	P-6m2

Structure (Quantum ESPRESSO input):
```
&SYSTEM
  ibrav = 0, nat = 3, ntyp = 3
/
ATOMIC_SPECIES
Ir 192.22 Ir.upf
Os 190.23 Os.upf
Ru 101.07 Ru.upf
ATOMIC_POSITIONS angstrom
Ir 0.000 0.000 0.000
Os 2.160 1.247 1.350
Ru 0.000 2.494 0.000
CELL_PARAMETERS angstrom
4.319 0.000 0.000
-2.160 3.741 0.000
0.000 0.000 2.699
```

Here is a relaxed IrOs2Ru crystal from the Alexandria database. Energies are from GGA-PBE. Values from VASP.

E	-9.393	eV per atom
total magnetic moment	0.9	Bohr magnetons per cell
ΔE_f	0.756	eV per atom
energy relative to the lowest polymorph listed for this composition	0.770	eV/atom
SG	Fm-3m

Structure (Quantum ESPRESSO input):
```
&SYSTEM
  ibrav = 0, nat = 4, ntyp = 3
/
ATOMIC_SPECIES
Ir 192.22 Ir.upf
Os 190.23 Os.upf
Ru 101.07 Ru.upf
ATOMIC_POSITIONS angstrom
Ir 0.000 0.000 0.000
Os 1.546 1.546 1.546
Os 4.638 4.638 4.638
Ru 3.092 3.092 3.092
CELL_PARAMETERS angstrom
0.000 3.092 3.092
3.092 0.000 3.092
3.092 3.092 0.000
```

Here is a relaxed Ir5Os3Ru2 crystal from the Alexandria database. Energies are from GGA-PBE. Values from VASP.

E	-8.977	eV per atom
total magnetic moment	0.0	Bohr magnetons per cell
ΔE_f	0.678	eV per atom
SG	Ibam

Structure (Quantum ESPRESSO input):
```
&SYSTEM
  ibrav = 0, nat = 20, ntyp = 3
/
ATOMIC_SPECIES
Ir 192.22 Ir.upf
Os 190.23 Os.upf
Ru 101.07 Ru.upf
ATOMIC_POSITIONS angstrom
Ir 6.505 1.853 0.000
Ir 2.625 6.114 -1.284
Ir 0.000 0.000 1.284
Ir 2.576 0.000 1.284
Ir 1.304 4.262 0.000
Ir 3.897 1.853 2.569
Ir 2.625 6.114 1.284
Ir 0.000 0.000 3.853
Ir 2.576 0.000 3.853
Ir -1.304 4.262 2.569
Os 1.187 1.867 0.000
Os 5.201 0.000 1.284
Os 6.388 4.247 0.000
Os -1.187 1.867 2.569
Os 0.000 6.114 1.284
Os 4.014 4.247 2.569
Ru 3.636 2.606 0.000
Ru 3.636 -2.606 2.569
Ru 1.565 8.720 0.000
Ru 1.565 3.508 2.569
CELL_PARAMETERS angstrom
-5.201 6.114 2.569
5.201 -6.114 2.569
5.201 6.114 -2.569
```

Here is a relaxed Ir6OsRu4 crystal from the Alexandria database. Energies are from GGA-PBE. Values from VASP.

E	-8.800	eV per atom
total magnetic moment	0.0	Bohr magnetons per cell
ΔE_f	0.427	eV per atom
SG	I-42m

Structure (Quantum ESPRESSO input):
```
&SYSTEM
  ibrav = 0, nat = 11, ntyp = 3
/
ATOMIC_SPECIES
Ir 192.22 Ir.upf
Os 190.23 Os.upf
Ru 101.07 Ru.upf
ATOMIC_POSITIONS angstrom
Ir 2.616 0.000 0.000
Ir 1.663 1.663 -1.839
Ir 0.953 -0.953 8.175
Ir 0.000 2.616 0.000
Ir 0.953 0.953 4.497
Ir -0.953 0.953 8.175
Os 0.000 0.000 0.000
Ru 1.562 -1.562 4.309
Ru 1.054 1.054 2.027
Ru -1.562 1.562 4.309
Ru 1.562 1.562 8.363
CELL_PARAMETERS angstrom
-2.616 2.616 6.336
2.616 -2.616 6.336
2.616 2.616 -6.336
```